SbPd | GGA-PBE | relaxed

POSCAR file:
```
SbPd
1.0
-5.4951 5.4951 1.9787
5.4951 -5.4951 1.9787
5.4951 5.4951 -1.9787
Sb Pd
4 4
direct
0.0723 0.7127 0.7850 Sb
0.2873 0.0723 0.3597 Sb
0.7127 0.9277 0.6403 Sb
0.9277 0.2873 0.2150 Sb
0.1611 0.2822 0.4434 Pd
0.2822 0.8389 0.1211 Pd
0.7178 0.1611 0.8789 Pd
0.8389 0.7178 0.5566 Pd
```

Summary:
**Formation energy without anion corrections**: -108 meV/atom
**Uncorrected energy**: -38.1 eV per cell
**Symmetry**: I4/m, No. 87
**Calculated density**: 6.34 Mg/m³